Entry 1:
## KP2SeCl (PBE-GGA)

Data for crystalline KP2SeCl at its relaxed geometry.

Values from the calculation:
Crystal system ... tetragonal
Symmetry ... P4/mmm, No. 123

The structure in CIF format:
```
data_KP2SeCl
_chemical_formula_sum 'K1 P2 Se1 Cl1'
_symmetry_space_group_name_H-M 'P 1'
_symmetry_Int_Tables_number 1
_symmetry_space_group_name_Hall 'P 1'
_cell_length_a 4.7193
_cell_length_b 4.7193
_cell_length_c 7.5824
_cell_angle_alpha 90.00
_cell_angle_beta 90.00
_cell_angle_gamma 90.00
loop_
_atom_site_label
_atom_site_type_symbol
_atom_site_fract_x
_atom_site_fract_y
_atom_site_fract_z
P1 P 0.0000 0.5000 0.0000
P2 P 0.5000 0.0000 0.0000
K1 K 0.5000 0.5000 0.5000
Se1 Se 0.0000 0.0000 0.0000
Cl1 Cl 0.0000 0.0000 0.5000
```

=====

Entry 2:
## K2PSeCl5 (PBE-GGA)

Data for crystalline K2PSeCl5 at its relaxed geometry.

Values from the calculation:
Crystal system ... tetragonal
Symmetry ... I4mm, No. 107

The structure in CIF format:
```
data_K2PSeCl5
_chemical_formula_sum 'K2 P1 Se1 Cl5'
_symmetry_space_group_name_H-M 'P 1'
_symmetry_Int_Tables_number 1
_symmetry_space_group_name_Hall 'P 1'
_cell_length_a 7.0659
_cell_length_b 7.0659
_cell_length_c 7.0659
_cell_angle_alpha 88.52
_cell_angle_beta 120.86
_cell_angle_gamma 120.86
loop_
_atom_site_label
_atom_site_type_symbol
_atom_site_fract_x
_atom_site_fract_y
_atom_site_fract_z
K1 K 0.5000 0.2516 0.7516
K2 K 0.5000 0.7516 0.2516
P1 P 0.0000 0.9880 0.9880
Se1 Se 0.0000 0.7656 0.7656
Cl1 Cl 0.4564 0.2351 0.2351
Cl2 Cl 0.5436 0.7786 0.7786
Cl3 Cl 0.0000 0.7786 0.2351
Cl4 Cl 0.0000 0.2351 0.7786
Cl5 Cl 0.0000 0.2159 0.2159
```

=====

Entry 3:
## KSnP2Cl (PBE-GGA)

Data for crystalline KSnP2Cl at its relaxed geometry.

Values from the calculation:
Crystal system ... tetragonal
Symmetry ... P4/mmm, No. 123

The structure in CIF format:
```
data_KSnP2Cl
_chemical_formula_sum 'K1 Sn1 P2 Cl1'
_symmetry_space_group_name_H-M 'P 1'
_symmetry_Int_Tables_number 1
_symmetry_space_group_name_Hall 'P 1'
_cell_length_a 5.0664
_cell_length_b 5.0664
_cell_length_c 5.8645
_cell_angle_alpha 90.00
_cell_angle_beta 90.00
_cell_angle_gamma 90.00
loop_
_atom_site_label
_atom_site_type_symbol
_atom_site_fract_x
_atom_site_fract_y
_atom_site_fract_z
P1 P 0.0000 0.5000 0.0000
P2 P 0.5000 0.0000 0.0000
K1 K 0.5000 0.5000 0.5000
Sn1 Sn 0.0000 0.0000 0.0000
Cl1 Cl 0.0000 0.0000 0.5000
```

=====

Entry 4:
## KSnP2Cl (PBE-GGA)

Data for crystalline KSnP2Cl at its relaxed geometry.

Values from the calculation:
Crystal system ... tetragonal
Symmetry ... P4/mmm, No. 123

The structure in CIF format:
```
data_KSnP2Cl
_chemical_formula_sum 'K1 Sn1 P2 Cl1'
_symmetry_space_group_name_H-M 'P 1'
_symmetry_Int_Tables_number 1
_symmetry_space_group_name_Hall 'P 1'
_cell_length_a 5.8115
_cell_length_b 5.8115
_cell_length_c 5.3583
_cell_angle_alpha 90.00
_cell_angle_beta 90.00
_cell_angle_gamma 90.00
loop_
_atom_site_label
_atom_site_type_symbol
_atom_site_fract_x
_atom_site_fract_y
_atom_site_fract_z
P1 P 0.0000 0.5000 0.0000
P2 P 0.5000 0.0000 0.0000
K1 K 0.0000 0.0000 0.0000
Sn1 Sn 0.5000 0.5000 0.5000
Cl1 Cl 0.0000 0.0000 0.5000
```

=====

Entry 5:
## KTaPCl2 (PBE-GGA)

Data for crystalline KTaPCl2 at its relaxed geometry.

Values from the calculation:
Crystal system ... tetragonal
Symmetry ... P4/mmm, No. 123

The structure in CIF format:
```
data_KTaPCl2
_chemical_formula_sum 'K1 Ta1 P1 Cl2'
_symmetry_space_group_name_H-M 'P 1'
_symmetry_Int_Tables_number 1
_symmetry_space_group_name_Hall 'P 1'
_cell_length_a 5.2940
_cell_length_b 5.2940
_cell_length_c 5.7497
_cell_angle_alpha 90.00
_cell_angle_beta 90.00
_cell_angle_gamma 90.00
loop_
_atom_site_label
_atom_site_type_symbol
_atom_site_fract_x
_atom_site_fract_y
_atom_site_fract_z
P1 P 0.0000 0.0000 0.5000
K1 K 0.0000 0.0000 0.0000
Cl1 Cl 0.0000 0.5000 0.0000
Cl2 Cl 0.5000 0.0000 0.0000
Ta1 Ta 0.5000 0.5000 0.5000
```

=====

Entry 6:
## KTaPCl2 (PBE-GGA)

Data for crystalline KTaPCl2 at its relaxed geometry.

Values from the calculation:
Crystal system ... tetragonal
Symmetry ... P4/mmm, No. 123

The structure in CIF format:
```
data_KTaPCl2
_chemical_formula_sum 'K1 Ta1 P1 Cl2'
_symmetry_space_group_name_H-M 'P 1'
_symmetry_Int_Tables_number 1
_symmetry_space_group_name_Hall 'P 1'
_cell_length_a 5.0208
_cell_length_b 5.0208
_cell_length_c 4.8547
_cell_angle_alpha 90.00
_cell_angle_beta 90.00
_cell_angle_gamma 90.00
loop_
_atom_site_label
_atom_site_type_symbol
_atom_site_fract_x
_atom_site_fract_y
_atom_site_fract_z
P1 P 0.0000 0.0000 0.5000
K1 K 0.5000 0.5000 0.5000
Cl1 Cl 0.0000 0.5000 0.0000
Cl2 Cl 0.5000 0.0000 0.0000
Ta1 Ta 0.0000 0.0000 0.0000
```

=====

Entry 7:
## KTc2PCl (PBE-GGA)

Data for crystalline KTc2PCl at its relaxed geometry.

Values from the calculation:
Crystal system ... tetragonal
Symmetry ... P4/mmm, No. 123

The structure in CIF format:
```
data_KTc2PCl
_chemical_formula_sum 'K1 Tc2 P1 Cl1'
_symmetry_space_group_name_H-M 'P 1'
_symmetry_Int_Tables_number 1
_symmetry_space_group_name_Hall 'P 1'
_cell_length_a 4.5112
_cell_length_b 6.9715
_cell_length_c 4.5112
_cell_angle_alpha 90.00
_cell_angle_beta 90.00
_cell_angle_gamma 90.00
loop_
_atom_site_label
_atom_site_type_symbol
_atom_site_fract_x
_atom_site_fract_y
_atom_site_fract_z
P1 P 0.0000 0.0000 0.0000
K1 K 0.0000 0.5000 0.0000
Tc1 Tc 0.0000 0.0000 0.5000
Tc2 Tc 0.5000 0.0000 0.0000
Cl1 Cl 0.5000 0.5000 0.5000
```

=====

Entry 8:
## KTePCl2 (PBE-GGA)

Data for crystalline KTePCl2 at its relaxed geometry.

Values from the calculation:
Crystal system ... tetragonal
Symmetry ... P4/mmm, No. 123

The structure in CIF format:
```
data_KTePCl2
_chemical_formula_sum 'K1 Te1 P1 Cl2'
_symmetry_space_group_name_H-M 'P 1'
_symmetry_Int_Tables_number 1
_symmetry_space_group_name_Hall 'P 1'
_cell_length_a 5.7655
_cell_length_b 5.7655
_cell_length_c 4.9316
_cell_angle_alpha 90.00
_cell_angle_beta 90.00
_cell_angle_gamma 90.00
loop_
_atom_site_label
_atom_site_type_symbol
_atom_site_fract_x
_atom_site_fract_y
_atom_site_fract_z
P1 P 0.0000 0.0000 0.5000
K1 K 0.5000 0.5000 0.5000
Te1 Te 0.0000 0.0000 0.0000
Cl1 Cl 0.0000 0.5000 0.0000
Cl2 Cl 0.5000 0.0000 0.0000
```

=====

Entry 9:
## KTePCl2 (PBE-GGA)

Data for crystalline KTePCl2 at its relaxed geometry.

Values from the calculation:
Crystal system ... tetragonal
Symmetry ... P4/mmm, No. 123

The structure in CIF format:
```
data_KTePCl2
_chemical_formula_sum 'K1 Te1 P1 Cl2'
_symmetry_space_group_name_H-M 'P 1'
_symmetry_Int_Tables_number 1
_symmetry_space_group_name_Hall 'P 1'
_cell_length_a 5.5521
_cell_length_b 5.5521
_cell_length_c 6.1063
_cell_angle_alpha 90.00
_cell_angle_beta 90.00
_cell_angle_gamma 90.00
loop_
_atom_site_label
_atom_site_type_symbol
_atom_site_fract_x
_atom_site_fract_y
_atom_site_fract_z
P1 P 0.0000 0.0000 0.5000
K1 K 0.0000 0.0000 0.0000
Te1 Te 0.5000 0.5000 0.5000
Cl1 Cl 0.0000 0.5000 0.0000
Cl2 Cl 0.5000 0.0000 0.0000
```

=====

Entry 10:
## KVPCl2 (PBE-GGA)

Data for crystalline KVPCl2 at its relaxed geometry.

Values from the calculation:
Crystal system ... tetragonal
Symmetry ... P4/mmm, No. 123

The structure in CIF format:
```
data_KVPCl2
_chemical_formula_sum 'K1 V1 P1 Cl2'
_symmetry_space_group_name_H-M 'P 1'
_symmetry_Int_Tables_number 1
_symmetry_space_group_name_Hall 'P 1'
_cell_length_a 5.5718
_cell_length_b 5.5718
_cell_length_c 5.8451
_cell_angle_alpha 90.00
_cell_angle_beta 90.00
_cell_angle_gamma 90.00
loop_
_atom_site_label
_atom_site_type_symbol
_atom_site_fract_x
_atom_site_fract_y
_atom_site_fract_z
P1 P 0.0000 0.0000 0.5000
K1 K 0.0000 0.0000 0.0000
Cl1 Cl 0.0000 0.5000 0.0000
Cl2 Cl 0.5000 0.0000 0.0000
V1 V 0.5000 0.5000 0.5000
```

=====

Entry 11:
## KV2PCl (PBE-GGA)

Data for crystalline KV2PCl at its relaxed geometry.

Values from the calculation:
Crystal system ... tetragonal
Symmetry ... P4/mmm, No. 123

The structure in CIF format:
```
data_KV2PCl
_chemical_formula_sum 'K1 V2 P1 Cl1'
_symmetry_space_group_name_H-M 'P 1'
_symmetry_Int_Tables_number 1
_symmetry_space_group_name_Hall 'P 1'
_cell_length_a 4.5989
_cell_length_b 5.5652
_cell_length_c 4.5989
_cell_angle_alpha 90.00
_cell_angle_beta 90.00
_cell_angle_gamma 90.00
loop_
_atom_site_label
_atom_site_type_symbol
_atom_site_fract_x
_atom_site_fract_y
_atom_site_fract_z
P1 P 0.0000 0.5000 0.0000
K1 K 0.5000 0.5000 0.5000
Cl1 Cl 0.0000 0.0000 0.0000
V1 V 0.0000 0.0000 0.5000
V2 V 0.5000 0.0000 0.0000
```

=====

Entry 12:
## KVPCl2 (PBE-GGA)

Data for crystalline KVPCl2 at its relaxed geometry.

Values from the calculation:
Crystal system ... tetragonal
Symmetry ... P4/mmm, No. 123

The structure in CIF format:
```
data_KVPCl2
_chemical_formula_sum 'K1 V1 P1 Cl2'
_symmetry_space_group_name_H-M 'P 1'
_symmetry_Int_Tables_number 1
_symmetry_space_group_name_Hall 'P 1'
_cell_length_a 5.0645
_cell_length_b 5.0645
_cell_length_c 4.6307
_cell_angle_alpha 90.00
_cell_angle_beta 90.00
_cell_angle_gamma 90.00
loop_
_atom_site_label
_atom_site_type_symbol
_atom_site_fract_x
_atom_site_fract_y
_atom_site_fract_z
P1 P 0.0000 0.0000 0.5000
K1 K 0.5000 0.5000 0.5000
Cl1 Cl 0.0000 0.5000 0.0000
Cl2 Cl 0.5000 0.0000 0.0000
V1 V 0.0000 0.0000 0.0000
```

=====

Entry 13:
## KVP2Cl (PBE-GGA)

Data for crystalline KVP2Cl at its relaxed geometry.

Values from the calculation:
Crystal system ... tetragonal
Symmetry ... P4/mmm, No. 123

The structure in CIF format:
```
data_KVP2Cl
_chemical_formula_sum 'K1 V1 P2 Cl1'
_symmetry_space_group_name_H-M 'P 1'
_symmetry_Int_Tables_number 1
_symmetry_space_group_name_Hall 'P 1'
_cell_length_a 5.2551
_cell_length_b 5.2551
_cell_length_c 5.2109
_cell_angle_alpha 90.00
_cell_angle_beta 90.00
_cell_angle_gamma 90.00
loop_
_atom_site_label
_atom_site_type_symbol
_atom_site_fract_x
_atom_site_fract_y
_atom_site_fract_z
P1 P 0.0000 0.5000 0.0000
P2 P 0.5000 0.0000 0.0000
K1 K 0.0000 0.0000 0.0000
Cl1 Cl 0.0000 0.0000 0.5000
V1 V 0.5000 0.5000 0.5000
```

=====

Entry 14:
## KVP2Cl (PBE-GGA)

Data for crystalline KVP2Cl at its relaxed geometry.

Values from the calculation:
Crystal system ... tetragonal
Symmetry ... P4/mmm, No. 123

The structure in CIF format:
```
data_KVP2Cl
_chemical_formula_sum 'K1 V1 P2 Cl1'
_symmetry_space_group_name_H-M 'P 1'
_symmetry_Int_Tables_number 1
_symmetry_space_group_name_Hall 'P 1'
_cell_length_a 4.4985
_cell_length_b 4.4985
_cell_length_c 5.5767
_cell_angle_alpha 90.00
_cell_angle_beta 90.00
_cell_angle_gamma 90.00
loop_
_atom_site_label
_atom_site_type_symbol
_atom_site_fract_x
_atom_site_fract_y
_atom_site_fract_z
P1 P 0.0000 0.5000 0.0000
P2 P 0.5000 0.0000 0.0000
K1 K 0.5000 0.5000 0.5000
Cl1 Cl 0.0000 0.0000 0.5000
V1 V 0.0000 0.0000 0.0000
```

=====

Entry 15:
## KP2WCl (PBE-GGA)

Data for crystalline KP2WCl at its relaxed geometry.

Values from the calculation:
Crystal system ... tetragonal
Symmetry ... P4/mmm, No. 123

The structure in CIF format:
```
data_KP2WCl
_chemical_formula_sum 'K1 P2 W1 Cl1'
_symmetry_space_group_name_H-M 'P 1'
_symmetry_Int_Tables_number 1
_symmetry_space_group_name_Hall 'P 1'
_cell_length_a 4.6761
_cell_length_b 4.6761
_cell_length_c 5.4486
_cell_angle_alpha 90.00
_cell_angle_beta 90.00
_cell_angle_gamma 90.00
loop_
_atom_site_label
_atom_site_type_symbol
_atom_site_fract_x
_atom_site_fract_y
_atom_site_fract_z
P1 P 0.0000 0.5000 0.0000
P2 P 0.5000 0.0000 0.0000
K1 K 0.5000 0.5000 0.5000
W1 W 0.0000 0.0000 0.0000
Cl1 Cl 0.0000 0.0000 0.5000
```

=====

Entry 16:
## KP2WCl (PBE-GGA)

Data for crystalline KP2WCl at its relaxed geometry.

Values from the calculation:
Crystal system ... tetragonal
Symmetry ... P4/mmm, No. 123

The structure in CIF format:
```
data_KP2WCl
_chemical_formula_sum 'K1 P2 W1 Cl1'
_symmetry_space_group_name_H-M 'P 1'
_symmetry_Int_Tables_number 1
_symmetry_space_group_name_Hall 'P 1'
_cell_length_a 5.0732
_cell_length_b 5.0732
_cell_length_c 4.9868
_cell_angle_alpha 90.00
_cell_angle_beta 90.00
_cell_angle_gamma 90.00
loop_
_atom_site_label
_atom_site_type_symbol
_atom_site_fract_x
_atom_site_fract_y
_atom_site_fract_z
P1 P 0.0000 0.5000 0.0000
P2 P 0.5000 0.0000 0.0000
K1 K 0.0000 0.0000 0.0000
W1 W 0.5000 0.5000 0.5000
Cl1 Cl 0.0000 0.0000 0.5000
```

=====

Entry 17:
## KYP2Cl (PBE-GGA)

Data for crystalline KYP2Cl at its relaxed geometry.

Values from the calculation:
Crystal system ... tetragonal
Symmetry ... P4/mmm, No. 123

The structure in CIF format:
```
data_KYP2Cl
_chemical_formula_sum 'K1 Y1 P2 Cl1'
_symmetry_space_group_name_H-M 'P 1'
_symmetry_Int_Tables_number 1
_symmetry_space_group_name_Hall 'P 1'
_cell_length_a 5.3691
_cell_length_b 5.3691
_cell_length_c 5.4892
_cell_angle_alpha 90.00
_cell_angle_beta 90.00
_cell_angle_gamma 90.00
loop_
_atom_site_label
_atom_site_type_symbol
_atom_site_fract_x
_atom_site_fract_y
_atom_site_fract_z
Y1 Y 0.0000 0.0000 0.0000
P1 P 0.0000 0.5000 0.0000
P2 P 0.5000 0.0000 0.0000
K1 K 0.5000 0.5000 0.5000
Cl1 Cl 0.0000 0.0000 0.5000
```

=====

Entry 18:
## KYP2Cl (PBE-GGA)

Data for crystalline KYP2Cl at its relaxed geometry.

Values from the calculation:
Crystal system ... tetragonal
Symmetry ... P4/mmm, No. 123

The structure in CIF format:
```
data_KYP2Cl
_chemical_formula_sum 'K1 Y1 P2 Cl1'
_symmetry_space_group_name_H-M 'P 1'
_symmetry_Int_Tables_number 1
_symmetry_space_group_name_Hall 'P 1'
_cell_length_a 5.1257
_cell_length_b 5.1257
_cell_length_c 5.1718
_cell_angle_alpha 90.00
_cell_angle_beta 90.00
_cell_angle_gamma 90.00
loop_
_atom_site_label
_atom_site_type_symbol
_atom_site_fract_x
_atom_site_fract_y
_atom_site_fract_z
Y1 Y 0.5000 0.5000 0.5000
P1 P 0.0000 0.5000 0.0000
P2 P 0.5000 0.0000 0.0000
K1 K 0.0000 0.0000 0.0000
Cl1 Cl 0.0000 0.0000 0.5000
```

=====

Entry 19:
## KZnPCl2 (PBE-GGA)

Data for crystalline KZnPCl2 at its relaxed geometry.

Values from the calculation:
Crystal system ... tetragonal
Symmetry ... P4/mmm, No. 123

The structure in CIF format:
```
data_KZnPCl2
_chemical_formula_sum 'K1 Zn1 P1 Cl2'
_symmetry_space_group_name_H-M 'P 1'
_symmetry_Int_Tables_number 1
_symmetry_space_group_name_Hall 'P 1'
_cell_length_a 5.3665
_cell_length_b 5.3665
_cell_length_c 4.6628
_cell_angle_alpha 90.00
_cell_angle_beta 90.00
_cell_angle_gamma 90.00
loop_
_atom_site_label
_atom_site_type_symbol
_atom_site_fract_x
_atom_site_fract_y
_atom_site_fract_z
P1 P 0.0000 0.0000 0.5000
Zn1 Zn 0.0000 0.0000 0.0000
K1 K 0.5000 0.5000 0.5000
Cl1 Cl 0.0000 0.5000 0.0000
Cl2 Cl 0.5000 0.0000 0.0000
```

=====

Entry 20:
## KZnPCl2 (PBE-GGA)

Data for crystalline KZnPCl2 at its relaxed geometry.

Values from the calculation:
Crystal system ... tetragonal
Symmetry ... P4/mmm, No. 123

The structure in CIF format:
```
data_KZnPCl2
_chemical_formula_sum 'K1 Zn1 P1 Cl2'
_symmetry_space_group_name_H-M 'P 1'
_symmetry_Int_Tables_number 1
_symmetry_space_group_name_Hall 'P 1'
_cell_length_a 5.8245
_cell_length_b 5.8245
_cell_length_c 6.4693
_cell_angle_alpha 90.00
_cell_angle_beta 90.00
_cell_angle_gamma 90.00
loop_
_atom_site_label
_atom_site_type_symbol
_atom_site_fract_x
_atom_site_fract_y
_atom_site_fract_z
P1 P 0.0000 0.0000 0.5000
Zn1 Zn 0.5000 0.5000 0.5000
K1 K 0.0000 0.0000 0.0000
Cl1 Cl 0.0000 0.5000 0.0000
Cl2 Cl 0.5000 0.0000 0.0000
```

=====

no.,uncorrected formation energy (kJ per mole of atoms)
1,10.9
2,-93.5
3,2.4
4,97.5
5,116.1
6,-74.4
7,33.7
8,-40.9
9,46.8
10,94.7
11,87.4
12,-79.4
13,169.7
14,-46.2
15,-23.2
16,233.9
17,-56.1
18,47.6
19,-58.9
20,32.6